Compound: Ca2FeIr
Source: the Alexandria database
Functional: PBE
Structure: optimized geometry

Values from the calculation:
**Distance to the lowest polymorph of the same formula**: 306 meV/atom
**Calculated volume**: 83.7 Å³ per cell

abc: 4.883 4.883 3.512
angles: 90.00 90.00 90.00
Fractional coordinates of all 4 atoms:
1 Ca 0.000 0.500 0.000
2 Ca 0.500 0.000 0.000
3 Fe 0.000 0.000 0.500
4 Ir 0.500 0.500 0.500